# 1
Density functional theory data (meta-GGA SCAN) for a PBEsol-optimized structure of TaP2Os.

Cell: 5.9881 5.9881 5.9881 Å, 90.00 90.00 90.00°
Last column: nearest neighbours and their distance in Å.
Space group Fm-3m (No. 225)
Inequivalent atoms, fractional coordinates:
Ta1 0.0000 0.0000 0.0000  8 P 2.59
P1 0.2500 0.2500 0.2500  4 Ta 2.59, 4 Os 2.59
Os1 0.0000 0.0000 0.5000  8 P 2.59

As for the formation enthalpy at 0 K: -0.5 eV per formula unit. Its total magnetic moment is 0.0 μB/f.u. The offset from the most stable computed form comes out at 0.0 meV per atom. For the total energy, the calculation gives -1.4677 Ha/atom. The crystal system is cubic.

=====

# 2
Density functional theory data (meta-GGA SCAN) for a PBEsol-optimized structure of YAg2W.

Cell: 3.0012 4.8837 10.3079 Å, 90.00 90.00 90.00°
Last column: nearest neighbours and their distance in Å.
Space group Immm (No. 71)
Inequivalent atoms, fractional coordinates:
Y1 0.0000 0.0000 0.0000  4 W 2.87, 2 Y 3.00, 4 Ag 3.16
Ag1 0.0000 0.5000 0.2303  2 W 2.81, 6 Ag 2.89-3.00
W1 0.0000 0.0000 0.5000  4 Ag 2.81, 4 Y 2.87, 2 W 3.00

As for the formation enthalpy at 0 K: 2.3 eV per formula unit. Its total magnetic moment is 0.0 μB/f.u. For the total energy, the calculation gives -1.4511 Ha/atom. The crystal system is orthorhombic.

=====

# 3
Density functional theory data (meta-GGA SCAN) for a PBEsol-optimized structure of BaBeAs2.

Cell: 3.5146 3.5146 6.7848 Å, 90.00 90.00 90.00°
Last column: nearest neighbours and their distance in Å.
Space group P4/mmm (No. 123)
Inequivalent atoms, fractional coordinates:
Ba1 0.0000 0.0000 0.0000  8 As 3.32, 2 Be 3.39, 4 Ba 3.51
Be1 0.0000 0.0000 0.5000  8 As 2.76
As1 0.5000 0.5000 0.3238  1 As 2.39

As for the formation enthalpy at 0 K: -0.3 eV per formula unit. Its total magnetic moment is 0.0 μB/f.u. For the total energy, the calculation gives -0.7770 Ha/atom. The crystal system is tetragonal.